(1)
ReSe3 after structural relaxation. Source: Alexandria, functional GGA-PBE.

Cell and atoms, written as extended XYZ:
```
4
Lattice="-4.582 -0.191 1.976 1.054 -3.179 -3.705 1.049 -2.235 2.216" Properties=species:S:1:pos:R:3 pbc="T T T"
Se -1.767 -1.213 2.096
Re 0.000 0.000 0.000
Se 1.051 -2.707 -0.745
Se -1.764 -1.685 -0.864
```

Values from the calculation:
Mass density: 9.58 g/cm3
Magnetization: 0.00 μB per cell
Formation energy (no corrections): 982 meV per atom
Space group: No. 65
E_tot: -4.743 eV per atom

=====

(2)
SrEuPdRh after structural relaxation. Source: Alexandria, functional GGA-PBE.

Cell and atoms, written as extended XYZ:
```
4
Lattice="5.117 0.000 0.000 2.559 4.432 0.000 2.559 1.477 4.178" Properties=species:S:1:pos:R:3 pbc="T T T"
Sr 7.676 4.432 3.134
Eu 2.559 1.477 1.045
Rh 5.117 2.954 2.089
Pd 0.000 0.000 0.000
```

Values from the calculation:
Mass density: 7.87 g/cm3
Magnetization: 6.85 μB per cell
Space group: No. 216
E_tot: -6.480 eV per atom
Formation enthalpy at 0 K: -34.2 kJ/mol of atoms